No. 1
Entry from the Alexandria database: InMoAu2 after structural relaxation (PBE-GGA).

```
InMoAu2
1.0
-0.543 3.385 2.008
-2.359 -1.902 2.570
6.559 -1.398 8.059
Mo Au In
2 4 2
Direct
0.500 0.500 0.000 Mo
0.250 0.750 0.500 Mo
0.375 0.380 0.750 Au
0.620 0.125 0.250 Au
0.875 0.870 0.750 Au
0.130 0.625 0.250 Au
0.750 0.250 0.500 In
0.000 0.000 0.000 In
```

size of the total moment = 0.302 μB/atom
calculated formation energy = 0.5236 eV per atom

---

No. 2
Entry from the Alexandria database: InMo2Au after structural relaxation (PBE-GGA).

```
InMo2Au
1.0
-3.897 1.819 2.529
-3.256 -0.661 3.723
2.828 2.473 3.620
Au Mo In
1 2 1
Direct
0.498 0.498 0.492 Au
0.999 0.999 0.974 Mo
0.756 0.756 0.772 Mo
0.248 0.248 0.263 In
```

size of the total moment = 0.000 μB/atom
calculated formation energy = 0.3007 eV per atom

---

No. 3
Entry from the Alexandria database: In2MoAu after structural relaxation (PBE-GGA).

```
In2MoAu
1.0
9.634 -0.021 -0.012
9.133 3.065 -0.012
9.133 1.482 2.684
Mo In Au
1 2 1
Direct
0.496 0.496 0.496 Mo
0.005 0.005 0.005 In
0.244 0.244 0.244 In
0.754 0.754 0.754 Au
```

energy relative to the lowest polymorph listed for this composition = 0.115 eV/atom
size of the total moment = 0.000 μB/atom
calculated formation energy = 0.2814 eV per atom

---

No. 4
Entry from the Alexandria database: In2MoAu after structural relaxation (PBE-GGA).

```
In2MoAu
1.0
3.030 -0.033 0.000
-1.121 2.815 0.000
0.000 0.000 9.213
In Au Mo
2 1 1
Direct
0.000 0.000 0.495 In
0.000 0.000 0.005 In
0.500 0.500 0.750 Au
0.500 0.500 0.250 Mo
```

energy relative to the lowest polymorph listed for this composition = 0.106 eV/atom
size of the total moment = 0.000 μB/atom
calculated formation energy = 0.2732 eV per atom

---

No. 5
Entry from the Alexandria database: In2MoAu after structural relaxation (PBE-GGA).

```
In2MoAu
1.0
9.553 -0.014 -0.008
9.055 3.045 -0.008
9.055 1.475 2.664
Mo Au In
1 1 2
Direct
0.250 0.250 0.250 Mo
0.750 0.750 0.750 Au
0.999 0.999 0.999 In
0.501 0.501 0.501 In
```

energy relative to the lowest polymorph listed for this composition = 0.093 eV/atom
size of the total moment = 0.097 μB/atom
calculated formation energy = 0.2598 eV per atom

---

No. 6
Entry from the Alexandria database: InMoAu2 after structural relaxation (PBE-GGA).

```
InMoAu2
1.0
9.531 -0.032 -0.019
9.066 2.941 -0.019
9.066 1.418 2.577
Au In Mo
2 1 1
Direct
0.003 0.003 0.003 Au
0.251 0.251 0.251 Au
0.498 0.498 0.498 In
0.748 0.748 0.748 Mo
```

size of the total moment = 0.000 μB/atom
calculated formation energy = 0.2404 eV per atom

---

No. 7
Entry from the Alexandria database: InMoAu2 after structural relaxation (PBE-GGA).

```
InMoAu2
1.0
-4.441 0.960 -2.231
-1.762 -4.408 -1.759
1.686 1.247 4.607
Mo In Au
1 1 2
Direct
0.750 0.250 0.500 Mo
0.250 0.750 0.500 In
0.000 0.000 0.000 Au
0.500 0.500 0.000 Au
```

size of the total moment = 0.370 μB/atom
calculated formation energy = 0.2901 eV per atom

---

No. 8
Entry from the Alexandria database: InMo2Au after structural relaxation (PBE-GGA).

```
InMo2Au
1.0
-2.313 -0.550 -1.525
-2.324 -0.697 3.777
-1.359 5.319 0.145
Mo Au In
2 1 1
Direct
0.000 0.000 0.503 Mo
0.000 0.000 0.997 Mo
0.500 0.500 0.250 Au
0.500 0.500 0.750 In
```

size of the total moment = 0.000 μB/atom
calculated formation energy = 0.3195 eV per atom

---

No. 9
Entry from the Alexandria database: InMoAu after structural relaxation (PBE-GGA).

```
InMoAu
1.0
4.501 0.000 0.000
2.251 3.898 0.000
2.251 1.299 3.675
Mo Au In
1 1 1
Direct
0.500 0.500 0.500 Mo
0.750 0.750 0.750 Au
0.000 0.000 0.000 In
```

energy relative to the lowest polymorph listed for this composition = 0.303 eV/atom
size of the total moment = 0.667 μB/atom
calculated formation energy = 0.5608 eV per atom

---

No. 10
Entry from the Alexandria database: InMo2Au after structural relaxation (PBE-GGA).

```
InMo2Au
1.0
6.174 0.073 0.253
-2.485 4.611 -0.136
1.204 0.719 2.473
Mo Au In
2 1 1
Direct
0.000 0.000 0.000 Mo
0.500 0.000 0.500 Mo
0.000 0.500 0.500 Au
0.500 0.500 0.000 In
```

size of the total moment = 0.000 μB/atom
calculated formation energy = 0.3136 eV per atom

---

No. 11
Entry from the Alexandria database: InMo2Au after structural relaxation (PBE-GGA).

```
InMo2Au
1.0
-8.680 -4.018 2.258
-7.012 -5.522 4.114
-8.031 -2.899 4.868
Mo Au In
2 1 1
Direct
0.997 0.997 0.997 Mo
0.251 0.251 0.251 Mo
0.503 0.503 0.503 Au
0.748 0.748 0.748 In
```

size of the total moment = 0.000 μB/atom
calculated formation energy = 0.3640 eV per atom

---

No. 12
Entry from the Alexandria database: InMoAu2 after structural relaxation (PBE-GGA).

```
InMoAu2
1.0
-1.498 0.371 -2.493
-2.518 -0.358 1.458
-0.348 8.370 1.455
Mo Au In
1 2 1
Direct
0.500 0.500 0.750 Mo
0.000 0.000 0.515 Au
0.000 0.000 0.985 Au
0.500 0.500 0.250 In
```

size of the total moment = 0.000 μB/atom
calculated formation energy = 0.1753 eV per atom